(1)
# Li3SO4

An optimized crystal structure of Li3SO4 (PBE-GGA, Alexandria via LeMat-Bulk).

Results
Crystal system: orthorhombic
ΔE_f (raw), eV/f.u.: -12.83
ρ, Mg/m³: 2.4
Density of states at the Fermi level, states/eV/f.u.: 0.3

Geometry as CIF:
```
data_Li3SO4
_chemical_formula_sum 'Li6 S2 O8'
_symmetry_space_group_name_H-M 'P m n 21'
_symmetry_Int_Tables_number 31
_cell_length_a 6.9798
_cell_length_b 5.0033
_cell_length_c 4.6450
_cell_angle_alpha 90.00
_cell_angle_beta 90.00
_cell_angle_gamma 90.00
loop_
_symmetry_equiv_pos_as_xyz
'x,y,z'
'-x+1/2,-y,z+1/2'
'-x,y,z'
'x+1/2,-y,z+1/2'
loop_
_atom_site_label
_atom_site_type_symbol
_atom_site_fract_x
_atom_site_fract_y
_atom_site_fract_z
Li1 Li 0.0000 0.1537 0.0000
Li2 Li 0.2457 0.3151 0.5019
S1 S 0.0000 0.7953 0.4976
O1 O 0.0000 0.0987 0.5683
O2 O 0.0000 0.7815 0.1645
O3 O 0.2313 0.7158 0.5594
```


(2)
# CsTl3Rh

An optimized crystal structure of CsTl3Rh (PBE-GGA, Alexandria via LeMat-Bulk).

Results
Crystal system: trigonal
ρ, Mg/m³: 8.4
Final energy, eV/atom: -2.9470
Density of states at the Fermi level, states/eV/f.u.: 3.5

Geometry as CIF:
```
data_CsTl3Rh
_chemical_formula_sum 'Cs6 Tl18 Rh6'
_symmetry_space_group_name_H-M 'R -3'
_symmetry_Int_Tables_number 148
_symmetry_space_group_name_Hall '-R 3'
_cell_length_a 6.6780
_cell_length_b 6.6780
_cell_length_c 26.1934
_cell_angle_alpha 90.00
_cell_angle_beta 90.00
_cell_angle_gamma 120.00
loop_
_atom_site_label
_atom_site_type_symbol
_atom_site_fract_x
_atom_site_fract_y
_atom_site_fract_z
Cs1 Cs 0.0000 0.0000 0.1828
Tl1 Tl 0.0023 0.4160 0.7164
Rh1 Rh 0.0000 0.0000 0.4522
```


(3)
# NpTe3PdPb

An optimized crystal structure of NpTe3PdPb (PBE-GGA, Alexandria via LeMat-Bulk).

Results
Crystal system: monoclinic
ΔE_f (raw), eV/f.u.: -2.87
ρ, Mg/m³: 8.2
Density of states at the Fermi level, states/eV/f.u.: 10.8

Geometry as CIF:
```
data_NpTe3PdPb
_chemical_formula_sum 'Np2 Te6 Pd2 Pb2'
_symmetry_space_group_name_H-M 'P 1 21/m 1'
_symmetry_Int_Tables_number 11
_cell_length_a 8.5370
_cell_length_b 4.3323
_cell_length_c 10.4678
_cell_angle_alpha 90.00
_cell_angle_beta 103.12
_cell_angle_gamma 90.00
loop_
_symmetry_equiv_pos_as_xyz
'x,y,z'
'-x,-y,-z'
'-x,y+1/2,-z'
'x,-y+1/2,z'
loop_
_atom_site_label
_atom_site_type_symbol
_atom_site_fract_x
_atom_site_fract_y
_atom_site_fract_z
Np1 Np 0.1696 0.2500 0.1569
Te1 Te 0.0875 0.2500 0.8525
Te2 Te 0.2449 0.2500 0.4507
Te3 Te 0.4124 0.7500 0.1325
Pd1 Pd 0.4295 0.7500 0.3995
Pb1 Pb 0.3448 0.7500 0.6829
```


(4)
# YMg2ScHg4

An optimized crystal structure of YMg2ScHg4 (PBE-GGA, Alexandria via LeMat-Bulk).

Results
Crystal system: trigonal
ρ, Mg/m³: 9.2
Final energy, eV/atom: -2.5743
Density of states at the Fermi level, states/eV/f.u.: 2.5

Geometry as CIF:
```
data_YMg2ScHg4
_chemical_formula_sum 'Y3 Mg6 Sc3 Hg12'
_symmetry_space_group_name_H-M 'R -3 m'
_symmetry_Int_Tables_number 166
_symmetry_space_group_name_Hall '-R 3 2"'
_cell_length_a 4.9912
_cell_length_b 4.9912
_cell_length_c 24.6106
_cell_angle_alpha 90.00
_cell_angle_beta 90.00
_cell_angle_gamma 120.00
loop_
_atom_site_label
_atom_site_type_symbol
_atom_site_fract_x
_atom_site_fract_y
_atom_site_fract_z
Y1 Y 0.0000 0.0000 0.0000
Mg1 Mg 0.0000 0.0000 0.2495
Sc1 Sc 0.0000 0.0000 0.5000
Hg1 Hg 0.0000 0.0000 0.1279
Hg2 Hg 0.0000 0.0000 0.3791
```


(5)
# NaCu2PdO4

An optimized crystal structure of NaCu2PdO4 (PBE-GGA, Alexandria via LeMat-Bulk).

Results
Crystal system: tetragonal
ΔE_f (raw), eV/f.u.: -4.28
ρ, Mg/m³: 5.5
Density of states at the Fermi level, states/eV/f.u.: 5.8

Geometry as CIF:
```
data_NaCu2PdO4
_chemical_formula_sum 'Na2 Cu4 Pd2 O8'
_symmetry_space_group_name_H-M 'I -4 2 m'
_symmetry_Int_Tables_number 121
_symmetry_space_group_name_Hall 'I -4 2'
_cell_length_a 5.2711
_cell_length_b 5.2711
_cell_length_c 6.9044
_cell_angle_alpha 90.00
_cell_angle_beta 90.00
_cell_angle_gamma 90.00
loop_
_atom_site_label
_atom_site_type_symbol
_atom_site_fract_x
_atom_site_fract_y
_atom_site_fract_z
Na1 Na 0.0000 0.0000 0.0000
Cu1 Cu 0.0000 0.5000 0.2500
Pd1 Pd 0.0000 0.0000 0.5000
O1 O 0.1924 0.1924 0.7180
```


(6)
# RbNa2ZnIn

An optimized crystal structure of RbNa2ZnIn (PBE-GGA, Alexandria via LeMat-Bulk).

Results
Crystal system: tetragonal
E above lowest polymorph, eV/atom: 0.028
ρ, Mg/m³: 2.6
Density of states at the Fermi level, states/eV/f.u.: 2.1

Geometry as CIF:
```
data_RbNa2ZnIn
_chemical_formula_sum 'Rb1 Na2 Zn1 In1'
_symmetry_space_group_name_H-M 'P 4/m m m'
_symmetry_Int_Tables_number 123
_symmetry_space_group_name_Hall '-P 4 2'
_cell_length_a 6.0400
_cell_length_b 6.0400
_cell_length_c 5.4868
_cell_angle_alpha 90.00
_cell_angle_beta 90.00
_cell_angle_gamma 90.00
loop_
_atom_site_label
_atom_site_type_symbol
_atom_site_fract_x
_atom_site_fract_y
_atom_site_fract_z
Rb1 Rb 0.0000 0.0000 0.0000
Na1 Na 0.0000 0.5000 0.5000
Zn1 Zn 0.5000 0.5000 0.0000
In1 In 0.5000 0.5000 0.5000
```


(7)
# LaVAsOs2

An optimized crystal structure of LaVAsOs2 (PBE-GGA, Alexandria via LeMat-Bulk).

Results
Crystal system: tetragonal
ρ, Mg/m³: 8.7
Final energy, eV/atom: -5.6735
Density of states at the Fermi level, states/eV/f.u.: 11.3

Geometry as CIF:
```
data_LaVAsOs2
_chemical_formula_sum 'La1 V1 As1 Os2'
_symmetry_space_group_name_H-M 'P 4/m m m'
_symmetry_Int_Tables_number 123
_symmetry_space_group_name_Hall '-P 4 2'
_cell_length_a 4.8143
_cell_length_b 4.8143
_cell_length_c 5.3202
_cell_angle_alpha 90.00
_cell_angle_beta 90.00
_cell_angle_gamma 90.00
loop_
_atom_site_label
_atom_site_type_symbol
_atom_site_fract_x
_atom_site_fract_y
_atom_site_fract_z
La1 La 0.0000 0.0000 0.0000
V1 V 0.5000 0.5000 0.5000
As1 As 0.0000 0.0000 0.5000
Os1 Os 0.0000 0.5000 0.0000
```


(8)
# Li2Cd2Bi

An optimized crystal structure of Li2Cd2Bi (PBE-GGA, Alexandria via LeMat-Bulk).

Results
Crystal system: tetragonal
E above lowest polymorph, eV/atom: 0.134
ρ, Mg/m³: 6.3
Density of states at the Fermi level, states/eV/f.u.: 2.1

Geometry as CIF:
```
data_Li2Cd2Bi
_chemical_formula_sum 'Li4 Cd4 Bi2'
_symmetry_space_group_name_H-M 'I 4/m m m'
_symmetry_Int_Tables_number 139
_symmetry_space_group_name_Hall '-I 4 2'
_cell_length_a 4.1567
_cell_length_b 4.1567
_cell_length_c 13.6853
_cell_angle_alpha 90.00
_cell_angle_beta 90.00
_cell_angle_gamma 90.00
loop_
_atom_site_label
_atom_site_type_symbol
_atom_site_fract_x
_atom_site_fract_y
_atom_site_fract_z
Li1 Li 0.0000 0.5000 0.2500
Cd1 Cd 0.0000 0.0000 0.1094
Bi1 Bi 0.0000 0.0000 0.5000
```